This record from OQMD via LeMat-Bulk describes crystalline TbCl at its relaxed geometry. The functional is GGA-PBE.

* VASP energy: -4.5257 eV/atom
* size of the total moment: 0.0 μB per formula unit

Lattice parameters (Å, degrees): 3.4866 3.4866 4.3129 90.00 90.00 120.00
Space group P-6m2 (No. 187)
Symmetry-distinct sites (fractional):
Tb 0.0000 0.0000 0.0000
Cl 0.3333 0.6667 0.5000